[1]
This record from the Alexandria database describes SmCr2F8 after structural relaxation. The functional is PBE+U.

Cell: 10.0013 7.3489 4.3772 Å, 90.00 93.04 90.00°
Closest atoms and distances in Å follow each position.
Space group C2/m (No. 12)
Inequivalent atoms, fractional coordinates:
Sm 0.0000 0.0000 0.0000 [2 per cell]  6 F 2.25-2.27
Cr 0.1178 0.5000 0.2626 [4 per cell]  4 F 1.95-2.04
F 0.0865 0.5000 0.7570 [4 per cell]  3 Cr 2.04-2.22
F 0.1060 0.2329 0.2514 [8 per cell]  1 Cr 1.97
F 0.1867 0.0000 0.7353 [4 per cell]  1 Cr 1.95

Results
* Fermi-level density of states: 2.398 states/eV/f.u.
* E: -6.255 eV per atom

[2]
This record from the Alexandria database describes Sm2CrF8 after structural relaxation. The functional is PBE+U.

Cell: 14.9203 3.5843 5.7139 Å, 90.00 108.15 90.00°
Closest atoms and distances in Å follow each position.
Space group C2/m (No. 12)
Inequivalent atoms, fractional coordinates:
Sm 0.1760 0.0000 0.1891 [4 per cell]  9 F 2.33-2.44
Cr 0.0000 0.5000 0.5000 [2 per cell]  4 F 2.18
F 0.0396 0.0000 0.3388 [4 per cell]  2 Cr 2.18
F 0.0937 0.5000 0.9604 [4 per cell]  2 Sm 2.33, 1 Cr 2.57
F 0.1791 0.5000 0.4660 [4 per cell]  3 Sm 2.38-2.43, 1 F 2.61
F 0.2187 0.0000 0.8301 [4 per cell]  3 Sm 2.33-2.41, 3 F 2.59-2.61

Results
* Fermi-level density of states: 0.000 states/eV/f.u.
* E: -6.529 eV per atom

[3]
This record from the Alexandria database describes CrSnF4 after structural relaxation. The functional is PBE+U.

Cell: 7.3192 7.3192 7.3143 Å, 90.00 90.00 90.00°
Closest atoms and distances in Å follow each position.
Space group I4_1md (No. 109)
Inequivalent atoms, fractional coordinates:
Cr 0.0000 0.0000 0.0000 [4 per cell]  4 F 2.05-2.20
Sn 0.0000 0.0000 0.5016 [4 per cell]  6 F 2.31-2.57
F 0.0000 0.1810 0.7598 [8 per cell]  1 Cr 2.20, 2 Sn 2.31-2.34
F 0.0000 0.2210 0.2282 [8 per cell]  1 Cr 2.05

Results
* Fermi-level density of states: 0.000 states/eV/f.u.
* E: -5.520 eV per atom

[4]
This record from the Alexandria database describes Cr3SnF after structural relaxation. The functional is PBE+U.

Cell: 5.2918 5.2918 5.2918 Å, 90.00 90.00 90.00°
Closest atoms and distances in Å follow each position.
Space group Pm-3m (No. 221)
Inequivalent atoms, fractional coordinates:
Cr 0.0000 0.0000 0.5000 [3 per cell]  2 Sn 2.65
Sn 0.0000 0.0000 0.0000 [1 per cell]  6 Cr 2.65
F 0.5000 0.5000 0.5000 [1 per cell]  12 Cr 3.74

Results
* Fermi-level density of states: 2.002 states/eV/f.u.
* polymorph energy (0 for the lowest one): 726 meV per atom
* E: -5.130 eV per atom

[5]
This record from the Alexandria database describes CrSn2F after structural relaxation. The functional is PBE+U.

Cell: 4.8992 4.8992 16.4046 Å, 90.00 90.00 90.00°
Closest atoms and distances in Å follow each position.
Space group I-42d (No. 122)
Inequivalent atoms, fractional coordinates:
Cr 0.0000 0.0000 0.0000 [4 per cell]  4 Sn 2.86
Sn 0.1774 0.2500 0.6250 [8 per cell]  2 F 2.54
F 0.0000 0.0000 0.5000 [4 per cell]  4 Sn 2.54

Results
* Fermi-level density of states: 2.102 states/eV/f.u.
* polymorph energy (0 for the lowest one): 0 meV per atom
* E: -4.639 eV per atom

[6]
This record from the Alexandria database describes Cr3SnF after structural relaxation. The functional is PBE+U.

Cell: 4.5422 4.5422 4.5422 Å, 90.00 90.00 90.00°
Closest atoms and distances in Å follow each position.
Space group Pm-3m (No. 221)
Inequivalent atoms, fractional coordinates:
Cr 0.0000 0.0000 0.5000 [3 per cell]  2 F 2.27
Sn 0.5000 0.5000 0.5000 [1 per cell]  12 Cr 3.21
F 0.0000 0.0000 0.0000 [1 per cell]  6 Cr 2.27

Results
* Fermi-level density of states: 1.503 states/eV/f.u.
* polymorph energy (0 for the lowest one): 0 meV per atom
* E: -5.856 eV per atom